The following is a PBE calculation of an optimized crystal structure of CuNi2Br, from Alexandria.

Its uncorrected formation energy is 2.34 eV per formula unit. The polymorph energy (0 for the lowest one) comes out at 6.13 kcal/mol of atoms. Its total energy is -3.75 eV per atom.

It has space group Immm (No. 71), with a = 3.118 Å, b = 4.353 Å, c = 8.114 Å, α = 90.00°, β = 90.00° and γ = 90.00°. Symmetry generates all atoms from Cu at (0.000, 0.000, 0.000), Ni at (0.000, 0.500, 0.245) and Br at (0.000, 0.000, 0.500).


The following is a PBE calculation of an optimized crystal structure of Nd3Al3Hg2Ru, from Alexandria.

Its total energy is -4.40 eV per atom. The energy of formation from the pure elements is -10.79 kcal/mol of atoms.

It has space group P-62m (No. 189), with a = 7.3045 Å, b = 7.3045 Å, c = 4.5061 Å, α = 90.00°, β = 90.00° and γ = 120.00°. Symmetry generates all atoms from Nd at (0.0000, 0.3962, 0.0000), Al at (0.0000, 0.7841, 0.5000), Hg at (0.3333, 0.6667, 0.5000) and Ru at (0.0000, 0.0000, 0.0000).


The following is a PBE calculation of an optimized crystal structure of Er2ZrCu, from Alexandria.

The polymorph energy (0 for the lowest one) comes out at 9.84 kcal/mol of atoms. Its total energy is -5.12 eV per atom. The energy of formation from the pure elements is 7.55 kcal/mol of atoms.

It has space group R-3m (No. 166, hexagonal axes), with a = 3.2304 Å, b = 3.2304 Å, c = 32.3246 Å, α = 90.00°, β = 90.00° and γ = 120.00°. Symmetry generates all atoms from Er at (0.0000, 0.0000, 0.0982), Zr at (0.0000, 0.0000, 0.0000) and Cu at (0.0000, 0.0000, 0.5000).


The following is a PBE calculation of an optimized crystal structure of TlCo2Ru, from Alexandria.

The polymorph energy (0 for the lowest one) comes out at 1.52 kcal/mol of atoms. Its total energy is -5.93 eV per atom. The energy of formation from the pure elements is 12.31 kcal/mol of atoms.

It has space group I-4m2 (No. 119), with a = 3.830 Å, b = 3.830 Å, c = 7.975 Å, α = 90.00°, β = 90.00° and γ = 90.00°. Symmetry generates all atoms from Tl at (0.000, 0.000, 0.000), Co at (0.000, 0.000, 0.500), Co at (0.000, 0.500, 0.750) and Ru at (0.000, 0.500, 0.250).


The following is a PBE calculation of an optimized crystal structure of Ba2LaBr, from Alexandria.

Its uncorrected formation energy is -1.94 eV per formula unit. The polymorph energy (0 for the lowest one) comes out at 3.73 kcal/mol of atoms. Its total energy is -3.10 eV per atom.

It has space group Cm (No. 8), with a = 14.804 Å, b = 3.956 Å, c = 6.425 Å, α = 90.00°, β = 113.07° and γ = 90.00°. Symmetry generates all atoms from Ba at (0.000, 0.000, 0.000), Ba at (0.197, 0.000, 0.676), La at (0.287, 0.500, 0.257) and Br at (0.476, 0.000, 0.481).


The following is a PBE calculation of an optimized crystal structure of PtPbW2, from Alexandria.

Its total energy is -8.33 eV per atom. The energy of formation from the pure elements is 13.44 kcal/mol of atoms.

It has space group I4/mmm (No. 139), with a = 3.996 Å, b = 3.996 Å, c = 8.795 Å, α = 90.00°, β = 90.00° and γ = 90.00°. Symmetry generates all atoms from Pt at (0.000, 0.000, 0.000), Pb at (0.000, 0.000, 0.500) and W at (0.000, 0.500, 0.250).


> The lowest total energy belongs to which entry?

PtPbW2